# 1
! PBE TbDy2NiSn3Pt2, relaxed; values from VASP
! energy = -5.82 eV per atom
&SYSTEM
  ibrav = 0, nat = 9, ntyp = 5
/
ATOMIC_SPECIES
Dy 162.50 Dy.upf
Ni 58.69 Ni.upf
Pt 195.08 Pt.upf
Sn 118.71 Sn.upf
Tb 158.93 Tb.upf
CELL_PARAMETERS angstrom
-1.669 -2.662 2.365
6.776 -1.957 2.580
-3.887 5.455 3.396
ATOMIC_POSITIONS angstrom
Dy 4.033 -1.165 1.536
Dy -2.314 3.247 2.021
Ni 2.888 3.497 5.973
Pt 2.392 -0.819 4.035
Pt -1.171 1.658 4.308
Sn 4.972 -1.930 4.606
Sn 1.336 1.298 5.672
Sn -3.035 3.636 5.219
Tb 1.170 1.416 2.419

***

# 2
! PBE Tb2DyNiSn3Pt2, relaxed; values from VASP
! energy = -5.82 eV per atom
&SYSTEM
  ibrav = 0, nat = 9, ntyp = 5
/
ATOMIC_SPECIES
Dy 162.50 Dy.upf
Ni 58.69 Ni.upf
Pt 195.08 Pt.upf
Sn 118.71 Sn.upf
Tb 158.93 Tb.upf
CELL_PARAMETERS angstrom
-2.213 1.915 2.636
6.021 0.904 4.398
-1.676 5.183 -5.172
ATOMIC_POSITIONS angstrom
Dy 1.758 2.463 -0.313
Ni 0.002 0.002 0.000
Pt 2.345 3.288 2.522
Pt -0.214 4.710 -0.660
Sn 0.391 1.184 2.410
Sn -1.521 2.247 0.032
Sn 2.157 5.529 0.737
Tb 3.584 0.538 2.618
Tb -0.998 3.084 -3.078

***

# 3
! PBE Dy2YNiSn3Pt2, relaxed; values from VASP
! energy = -6.03 eV per atom
&SYSTEM
  ibrav = 0, nat = 9, ntyp = 5
/
ATOMIC_SPECIES
Dy 162.50 Dy.upf
Ni 58.69 Ni.upf
Pt 195.08 Pt.upf
Sn 118.71 Sn.upf
Y 88.91 Y.upf
CELL_PARAMETERS angstrom
-1.169 0.644 -3.696
-3.266 -6.757 -0.145
-3.882 6.008 2.276
ATOMIC_POSITIONS angstrom
Dy -1.323 -2.738 -0.059
Dy -1.573 2.434 0.922
Ni -0.005 -0.001 0.002
Pt -4.051 -2.189 -1.189
Pt -4.257 2.085 -0.379
Sn -2.364 0.136 -1.318
Sn -6.767 -1.921 -0.283
Sn -6.920 1.254 0.319
Y -4.255 -0.446 1.268

***

# 4
! PBE Dy3Zn3Ni2Pt, relaxed; values from VASP
! DFT formation energy = -0.61 eV/atom
&SYSTEM
  ibrav = 0, nat = 9, ntyp = 4
/
ATOMIC_SPECIES
Dy 162.50 Dy.upf
Ni 58.69 Ni.upf
Pt 195.08 Pt.upf
Zn 65.41 Zn.upf
CELL_PARAMETERS angstrom
-6.297 3.256 -0.312
0.432 -6.668 2.390
0.498 1.303 3.546
ATOMIC_POSITIONS angstrom
Dy -3.469 2.574 1.588
Dy -2.153 -0.746 2.624
Dy 0.504 -3.285 3.184
Ni -4.054 -0.052 0.588
Ni -1.811 -3.360 1.489
Pt 0.249 0.651 1.773
Zn -1.632 0.844 -0.081
Zn 0.112 -1.728 0.619
Zn -4.345 -2.527 1.539

***

# 5
! PBE DyPu2Ni9, relaxed; values from VASP
! DFT formation energy = -0.11 eV/atom
&SYSTEM
  ibrav = 0, nat = 12, ntyp = 3
/
ATOMIC_SPECIES
Dy 162.50 Dy.upf
Ni 58.69 Ni.upf
Pu 244.00 Pu.upf
CELL_PARAMETERS angstrom
3.239 7.803 1.676
5.962 5.951 -1.797
1.739 7.934 -2.867
ATOMIC_POSITIONS angstrom
Dy 0.000 0.000 0.000
Ni 5.502 8.672 -0.311
Ni 3.641 7.217 -0.994
Ni 6.186 12.950 -0.414
Ni 7.542 12.027 -2.144
Ni 5.470 10.844 -1.494
Ni 3.399 9.660 -0.844
Ni 4.755 8.738 -2.574
Ni 7.300 14.471 -1.994
Ni 5.439 13.015 -2.677
Pu 1.613 3.198 -0.441
Pu 9.328 18.490 -2.548

***

# 6
! PBE DyPuNi, relaxed; values from VASP
! DFT formation energy = 0.01 eV/atom
&SYSTEM
  ibrav = 0, nat = 3, ntyp = 3
/
ATOMIC_SPECIES
Dy 162.50 Dy.upf
Ni 58.69 Ni.upf
Pu 244.00 Pu.upf
CELL_PARAMETERS angstrom
0.000 3.248 3.248
3.248 0.000 3.248
3.248 3.248 0.000
ATOMIC_POSITIONS angstrom
Dy 4.872 4.872 4.872
Ni 0.000 0.000 0.000
Pu 1.624 1.624 1.624

***

# 7
! PBE RbDyNiSe3, relaxed; values from VASP
! energy = -4.60 eV per atom
&SYSTEM
  ibrav = 0, nat = 12, ntyp = 4
/
ATOMIC_SPECIES
Dy 162.50 Dy.upf
Ni 58.69 Ni.upf
Rb 85.47 Rb.upf
Se 78.96 Se.upf
CELL_PARAMETERS angstrom
8.334 -2.140 0.000
8.334 2.140 0.000
-1.678 0.000 8.806
ATOMIC_POSITIONS angstrom
Dy 13.202 0.000 3.657
Dy 1.788 0.000 5.149
Ni 7.907 0.000 2.555
Ni 7.084 0.000 6.251
Rb 2.379 0.000 0.636
Rb 12.611 0.000 8.170
Se 8.334 0.000 0.000
Se 5.608 0.000 1.936
Se 10.367 0.000 3.186
Se -0.839 0.000 4.403
Se 4.624 0.000 5.619
Se 9.383 0.000 6.870

***

# 8
! PBE RbDyNiTe3, relaxed; values from VASP
! energy = -4.34 eV per atom
&SYSTEM
  ibrav = 0, nat = 24, ntyp = 4
/
ATOMIC_SPECIES
Dy 162.50 Dy.upf
Ni 58.69 Ni.upf
Rb 85.47 Rb.upf
Te 127.60 Te.upf
CELL_PARAMETERS angstrom
16.576 0.000 0.000
0.000 4.294 0.000
0.000 0.000 11.392
ATOMIC_POSITIONS angstrom
Dy 16.158 3.221 1.762
Dy 7.870 3.221 3.935
Dy 8.706 1.074 7.458
Dy 0.418 1.074 9.631
Ni 7.982 1.074 1.295
Ni 16.271 1.074 4.402
Ni 0.306 3.221 6.991
Ni 8.594 3.221 10.098
Rb 4.506 3.221 0.212
Rb 12.794 3.221 5.484
Rb 3.782 1.074 5.908
Rb 12.070 1.074 11.180
Te 1.659 1.074 1.005
Te 9.311 3.221 1.133
Te 5.970 1.074 2.838
Te 14.258 1.074 2.858
Te 1.023 3.221 4.563
Te 9.947 1.074 4.691
Te 6.629 3.221 6.701
Te 15.553 1.074 6.829
Te 2.318 3.221 8.534
Te 10.607 3.221 8.554
Te 7.265 1.074 10.259
Te 14.917 3.221 10.387

***

# 9
! PBE RbDyNiTe3, relaxed; values from VASP
! energy = -4.26 eV per atom
&SYSTEM
  ibrav = 0, nat = 24, ntyp = 4
/
ATOMIC_SPECIES
Dy 162.50 Dy.upf
Ni 58.69 Ni.upf
Rb 85.47 Rb.upf
Te 127.60 Te.upf
CELL_PARAMETERS angstrom
-2.031 11.601 -2.029
-1.810 -1.022 -4.033
-12.414 -1.148 5.862
ATOMIC_POSITIONS angstrom
Dy -3.971 5.077 -2.056
Dy -7.083 10.683 -2.081
Dy -8.266 -0.741 3.897
Dy -11.378 4.865 3.873
Ni -4.066 8.224 -0.260
Ni -4.089 2.328 1.245
Ni -11.261 7.614 0.571
Ni -11.283 1.718 2.076
Rb -2.619 9.184 -3.704
Rb -7.777 2.813 0.225
Rb -7.572 7.129 1.591
Rb -12.730 0.758 5.521
Te -1.875 7.065 -0.949
Te -4.265 10.731 -0.806
Te -3.986 1.838 -1.229
Te -5.953 7.550 -1.794
Te -4.759 4.791 0.921
Te -5.810 0.807 2.403
Te -9.539 9.135 -0.587
Te -10.590 5.151 0.895
Te -9.396 2.392 3.610
Te -11.363 8.104 3.045
Te -11.084 -0.789 2.622
Te -13.474 2.877 2.765

***

# 10
! PBE RbDyNiTe3, relaxed; values from VASP
! energy = -4.32 eV per atom
&SYSTEM
  ibrav = 0, nat = 12, ntyp = 4
/
ATOMIC_SPECIES
Dy 162.50 Dy.upf
Ni 58.69 Ni.upf
Rb 85.47 Rb.upf
Te 127.60 Te.upf
CELL_PARAMETERS angstrom
2.108 -8.859 0.000
2.108 8.859 0.000
0.000 0.000 10.688
ATOMIC_POSITIONS angstrom
Dy 0.000 0.000 0.000
Dy 0.000 0.000 5.344
Ni 2.108 -0.175 2.672
Ni 2.108 0.175 8.016
Rb 2.108 4.331 2.672
Rb 2.108 -4.331 8.016
Te 2.108 -2.021 0.927
Te 2.108 -7.481 2.672
Te 2.108 -2.021 4.417
Te 2.108 2.021 6.271
Te 2.108 7.481 8.016
Te 2.108 2.021 9.761

***

# 11
! PBE RbDyNiTe3, relaxed; values from VASP
! energy = -4.24 eV per atom
&SYSTEM
  ibrav = 0, nat = 24, ntyp = 4
/
ATOMIC_SPECIES
Dy 162.50 Dy.upf
Ni 58.69 Ni.upf
Rb 85.47 Rb.upf
Te 127.60 Te.upf
CELL_PARAMETERS angstrom
-2.764 -3.293 10.146
0.680 -4.149 -1.161
15.272 1.227 4.558
ATOMIC_POSITIONS angstrom
Dy -0.767 -3.108 6.560
Dy 6.533 -0.986 3.252
Dy 6.655 -5.229 10.290
Dy 13.955 -3.107 6.983
Ni 1.119 -2.032 3.818
Ni 3.548 -3.372 10.028
Ni 9.640 -2.843 3.515
Ni 12.069 -4.184 9.725
Rb 2.913 -3.032 0.250
Rb 4.157 -4.468 6.108
Rb 9.031 -1.748 7.435
Rb 10.275 -3.184 13.292
Te -0.206 -1.643 1.653
Te 1.029 -4.501 4.397
Te 1.529 -3.284 8.530
Te 3.589 -1.583 3.659
Te 3.669 -5.825 10.671
Te 5.764 -2.699 8.921
Te 7.424 -3.517 4.622
Te 9.519 -0.391 2.872
Te 9.599 -4.633 9.884
Te 11.659 -2.932 5.013
Te 12.159 -1.714 9.146
Te 13.394 -4.573 11.889

***

# 12
! PBE RbDyNiTe3, relaxed; values from VASP
! energy = -4.17 eV per atom
&SYSTEM
  ibrav = 0, nat = 12, ntyp = 4
/
ATOMIC_SPECIES
Dy 162.50 Dy.upf
Ni 58.69 Ni.upf
Rb 85.47 Rb.upf
Te 127.60 Te.upf
CELL_PARAMETERS angstrom
-6.352 3.866 -4.944
-8.408 2.824 -1.031
3.186 8.341 3.894
ATOMIC_POSITIONS angstrom
Dy -2.156 1.858 -0.638
Dy -9.420 13.173 -1.443
Ni -6.872 4.478 -2.419
Ni -4.703 10.553 0.337
Rb -11.212 9.129 -3.462
Rb -0.363 5.902 1.380
Te 0.000 0.000 0.000
Te -4.614 3.389 -1.522
Te -8.323 6.605 -2.615
Te -5.788 7.516 -1.041
Te -3.252 8.426 0.534
Te -6.961 11.643 -0.559

***

- What is the formula in the fifth record?
  DyPu2Ni9